1.
The following is a DFT calculation (PBE) of Tb7SmEr3 after structural relaxation.

It has space group P3m1 (No. 156), with a = 7.0591 Å, b = 7.0591 Å, c = 8.5727 Å, α = 90.00°, β = 90.00° and γ = 120.00°. Symmetry generates all atoms from Tb at (0.0000, 0.0000, 0.0000), Tb at (0.1653, 0.3307, 0.6692), Tb at (0.5013, 0.0025, 0.0061), Sm at (0.6667, 0.3333, 0.6756) and Er at (0.3327, 0.1664, 0.3368).

The calculation puts the calculated formation energy at 205 kJ/mol of formula units. The calculation puts the density of states at the Fermi level at 17.49 states/eV per cell. For the raw total energy, the calculation gives -4.43 eV per atom. The crystal system is trigonal. Its volume is 370.0 Å³ per cell.

2.
The following is a DFT calculation (PBE) of TbZr3 after structural relaxation.

It has space group Pmm2 (No. 25), with a = 3.300 Å, b = 5.251 Å, c = 5.790 Å, α = 90.00°, β = 90.00° and γ = 90.00°. Symmetry generates all atoms from Tb at (0.000, 0.000, 0.000), Zr at (0.000, 0.500, 0.662), Zr at (0.500, 0.000, 0.500) and Zr at (0.500, 0.500, 0.188).

The calculation puts the calculated formation energy at 24 kJ/mol of formula units. The calculation puts the density of states at the Fermi level at 3.84 states/eV per cell. For the raw total energy, the calculation gives -7.51 eV per atom. The crystal system is orthorhombic. Its volume is 100.3 Å³ per cell.

3.
The following is a DFT calculation (PBE) of Tb3CeDy after structural relaxation.

It has space group P2_1/m (No. 11), with a = 7.020 Å, b = 10.942 Å, c = 8.754 Å, α = 90.00°, β = 101.92° and γ = 90.00°. Symmetry generates all atoms from Tb at (0.085, 0.060, 0.349), Tb at (0.254, 0.507, 0.005), Tb at (0.414, 0.560, 0.653), Ce at (0.177, 0.250, 0.694), Ce at (0.492, 0.750, 0.943), Dy at (0.023, 0.250, 0.048) and Dy at (0.324, 0.750, 0.305).

The calculation puts the calculated formation energy at 116 kJ/mol of formula units. The calculation puts the density of states at the Fermi level at 44.78 states/eV per cell. For the raw total energy, the calculation gives -4.64 eV per atom. The crystal system is monoclinic. Its volume is 658.0 Å³ per cell.

4.
The following is a DFT calculation (PBE) of YTm2Au after structural relaxation.

It has space group R-3m (No. 166, hexagonal axes), with a = 3.6707 Å, b = 3.6707 Å, c = 29.5172 Å, α = 90.00°, β = 90.00° and γ = 120.00°. Symmetry generates all atoms from Y at (0.0000, 0.0000, 0.0000), Tm at (0.0000, 0.0000, 0.2357) and Au at (0.0000, 0.0000, 0.5000).

The calculation puts the calculated formation energy at -113 kJ/mol of formula units. The calculation puts the density of states at the Fermi level at 15.40 states/eV per cell. For the raw total energy, the calculation gives -4.96 eV per atom. The crystal system is trigonal. Its volume is 344.4 Å³ per cell.

Number 1: energy above the most stable polymorph in this dataset 5.28 kJ/mol of atoms. Number 2: energy above the most stable polymorph in this dataset 0.16 kJ/mol of atoms. Number 3: energy above the most stable polymorph in this dataset 1.52 kJ/mol of atoms. Number 4: energy above the most stable polymorph in this dataset 16.81 kJ/mol of atoms.